VASP calculation (PBE) on LaMgP after structural relaxation.

- Calculated total energy: -4.181 eV/atom
- ΔE_f: -0.203 eV/atom

Cell lengths 4.663, 4.663, 4.663 Å; angles 60.00, 60.00, 60.00 degrees
Sites, in units of the cell vectors:
P: 0.000 0.000 0.000
La: 0.500 0.500 0.500
Mg: 0.750 0.750 0.750